This record from Alexandria via LeMat-Bulk describes a relaxed structure of Pr6Dy2Er. The functional is GGA-PBE.

Cell lengths 6.2943, 10.2119, 10.2119 Å; angles 71.53, 84.88, 84.88 degrees
Positions (direct):
Er 0.7500 0.8990 0.1010
Pr 0.9862 0.4080 0.6884
Pr 0.5138 0.3116 0.5920
Dy 0.4173 0.5663 0.7677
Pr 0.0138 0.5920 0.3116
Er 0.2500 0.1010 0.8990
Pr 0.3198 0.7424 0.0221
Pr 0.8474 0.6458 0.9257
Dy 0.9173 0.7677 0.5663
Pr 0.4862 0.6884 0.4080
Pr 0.1526 0.3542 0.0743
Pr 0.6526 0.0743 0.3542
Pr 0.3474 0.9257 0.6458
Dy 0.0827 0.2323 0.4337
Dy 0.5827 0.4337 0.2323
Pr 0.1802 0.9779 0.2576
Pr 0.6802 0.2576 0.9779
Pr 0.8198 0.0221 0.7424

Electronic total energy   -4.63 eV/atom
Formation energy from the elements   81 meV per atom
N(E_F)   25.36 states/eV per cell
Excess energy over the best structure of this formula in the dataset   0 meV/atom
Total magnetization   0.000 Bohr magnetons per cell
SG   No. 15